(1)
Below is a relaxed structure of Tb2PdPt, with properties calculated at the PBE-GGA level.

Values from the calculation:
- volume (Å³/f.u.) = 89.8
- ρ (g/cm³) = 11.46
- energy of formation from the pure elements (eV/atom) = -1.099

Lattice parameters (Å, degrees): 5.647 4.464 7.122 90.00 90.01 90.00
Space group P2_1/m (No. 11)
Asymmetric unit:
Tb (0.141, 0.250, 0.186) (multiplicity 2)
Tb (0.358, 0.250, 0.677) (multiplicity 2)
Pd (0.349, 0.750, 0.957) (multiplicity 2)
Pt (0.158, 0.750, 0.454) (multiplicity 2)

(2)
Below is a relaxed structure of Ho4CoTe2, with properties calculated at the PBE-GGA level.

Values from the calculation:
- E (eV per atom) = -5.356
- volume (Å³/f.u.) = 196.0
- ρ (g/cm³) = 8.25

Lattice parameters (Å, degrees): 7.863 12.124 4.112 90.00 90.00 90.00
Space group Pbam (No. 55)
Asymmetric unit:
Ho (0.135, 0.193, 0.000) (multiplicity 4)
Ho (0.195, 0.943, 0.500) (multiplicity 4)
Co (0.000, 0.000, 0.000) (multiplicity 2)
Te (0.068, 0.665, 0.500) (multiplicity 4)

(3)
Below is a relaxed structure of CdPb2, with properties calculated at the PBE-GGA level.

Values from the calculation:
- E (eV per atom) = -1.722
- volume (Å³/f.u.) = 270.6
- ρ (g/cm³) = 3.23

Lattice parameters (Å, degrees): 12.937 12.937 12.937 90.00 90.00 90.00
Space group Fd-3m (No. 227, origin choice 2)
Asymmetric unit:
Cd (0.125, 0.125, 0.125) (multiplicity 8)
Pb (0.000, 0.000, 0.000) (multiplicity 16)

(4)
Below is a relaxed structure of YTcPO, with properties calculated at the PBE-GGA level.

Values from the calculation:
- E (eV per atom) = -7.037
- volume (Å³/f.u.) = 73.6
- ρ (g/cm³) = 5.27

Lattice parameters (Å, degrees): 4.503 4.503 7.263 90.00 90.00 90.00
Space group P4/nmm (No. 129, origin choice 2)
Asymmetric unit:
Y (0.250, 0.750, 0.000) (multiplicity 2)
Tc (0.250, 0.250, 0.474) (multiplicity 2)
P (0.250, 0.250, 0.800) (multiplicity 2)
O (0.250, 0.750, 0.500) (multiplicity 2)

(5)
Below is a relaxed structure of Nb3SICl6, with properties calculated at the PBE-GGA level.

Values from the calculation:
- E (eV per atom) = -5.466
- volume (Å³/f.u.) = 271.0
- ρ (g/cm³) = 3.99

Lattice parameters (Å, degrees): 6.9938 6.9938 6.3981 90.00 90.00 120.00
Space group P3m1 (No. 156)
Asymmetric unit:
Nb (0.1970, 0.3940, 0.0000) (multiplicity 3)
S (0.3333, 0.6667, 0.2772) (multiplicity 1)
I (0.0000, 0.0000, 0.7275) (multiplicity 1)
Cl (0.0061, 0.5031, 0.7540) (multiplicity 3)
Cl (0.3323, 0.1661, 0.2013) (multiplicity 3)

(6)
Below is a relaxed structure of HoErBPb, with properties calculated at the PBE-GGA level.

Values from the calculation:
- E (eV per atom) = -5.098
- volume (Å³/f.u.) = 96.9
- ρ (g/cm³) = 9.43

Lattice parameters (Å, degrees): 3.6723 3.6723 16.5905 90.00 90.00 120.00
Space group P-6m2 (No. 187)
Asymmetric unit:
Ho (0.0000, 0.0000, 0.1613) (multiplicity 2)
Er (0.6667, 0.3333, 0.3390) (multiplicity 2)
B (0.3333, 0.6667, 0.2506) (multiplicity 2)
Pb (0.0000, 0.0000, 0.5000) (multiplicity 1)
Pb (0.6667, 0.3333, 0.0000) (multiplicity 1)

(7)
Below is a relaxed structure of LiInCuOs, with properties calculated at the PBE-GGA level.

Values from the calculation:
- E (eV per atom) = -4.563
- volume (Å³/f.u.) = 57.3
- ρ (g/cm³) = 10.89

Lattice parameters (Å, degrees): 6.119 6.119 6.119 90.00 90.00 90.00
Space group F-43m (No. 216)
Asymmetric unit:
Li (0.000, 0.000, 0.000) (multiplicity 4)
In (0.250, 0.250, 0.250) (multiplicity 4)
Cu (0.000, 0.000, 0.500) (multiplicity 4)
Os (0.250, 0.250, 0.750) (multiplicity 4)

(8)
Below is a relaxed structure of NaSmPu, with properties calculated at the PBE-GGA level.

Values from the calculation:
- E (eV per atom) = -5.817
- volume (Å³/f.u.) = 106.4
- ρ (g/cm³) = 6.52

Lattice parameters (Å, degrees): 7.521 7.521 7.521 90.00 90.00 90.00
Space group F-43m (No. 216)
Asymmetric unit:
Na (0.000, 0.000, 0.000) (multiplicity 4)
Sm (0.250, 0.250, 0.250) (multiplicity 4)
Pu (0.250, 0.250, 0.750) (multiplicity 4)